1.
DFT (GGA-PBE) results for crystalline Ca2RePt at its relaxed geometry.

```
Ca2RePt
1.0
-4.368 -3.192 0.198
4.180 -3.134 1.420
-0.399 0.716 2.755
Pt Ca Re
1 2 1
Direct
0.500 0.000 0.500
0.000 0.000 0.000
0.500 0.500 0.000
0.000 0.500 0.500
```

Size of the total moment   0.00 μB/f.u.
E_form   0.240 eV/atom
Electronic total energy   -5.383 eV/atom
Offset from the most stable computed form   0.180 eV per atom


2.
DFT (GGA-PBE) results for crystalline Ca2RePt at its relaxed geometry.

```
Ca2RePt
1.0
3.014 0.023 0.000
-0.038 3.014 0.000
0.000 0.000 8.881
Ca Re Pt
2 1 1
Direct
0.000 0.000 0.015
0.000 0.000 0.485
0.500 0.500 0.750
0.500 0.500 0.250
```

Size of the total moment   0.55 μB/f.u.
E_form   0.177 eV/atom
Electronic total energy   -5.446 eV/atom
Offset from the most stable computed form   0.117 eV per atom


3.
DFT (GGA-PBE) results for crystalline CaRePt2 at its relaxed geometry.

```
CaRePt2
1.0
4.499 0.006 0.000
3.634 2.652 0.000
0.782 0.256 6.364
Re Ca Pt
1 1 2
Direct
0.750 0.750 0.750
0.250 0.250 0.250
0.502 0.502 0.556
0.998 0.998 0.944
```

Size of the total moment   0.00 μB/f.u.
E_form   0.010 eV/atom
Electronic total energy   -6.623 eV/atom
Offset from the most stable computed form   0.260 eV per atom


- Among the records above, which one has the highest size of the total moment?
  number 2